# PBE Er3Tm2Cd, relaxed
data_Er3Tm2Cd
_chemical_formula_sum 'Er3 Tm2 Cd1'
_space_group_name_H-M_alt 'P 4/m m m'
_space_group_IT_number 123
_space_group_name_Hall '-P 4 2'
_cell_length_a 3.510
_cell_length_b 3.510
_cell_length_c 14.044
_cell_angle_alpha 90.00
_cell_angle_beta 90.00
_cell_angle_gamma 90.00
loop_
_atom_site_label
_atom_site_type_symbol
_atom_site_fract_x
_atom_site_fract_y
_atom_site_fract_z
Er1 Er 0.000 0.000 0.000
Er2 Er 0.000 0.000 0.351
Tm1 Tm 0.500 0.500 0.175
Cd1 Cd 0.500 0.500 0.500
# Polymorph energy (0 for the lowest one) = 0 meV per atom
# Energy relative to the elements = -86 meV/atom
# DFT total energy = -24.06 eV/cell



# PBE Er3TmCd2, relaxed
data_Er3TmCd2
_chemical_formula_sum 'Er6 Tm2 Cd4'
_space_group_name_H-M_alt 'P m c 21'
_space_group_IT_number 26
_cell_length_a 5.168
_cell_length_b 9.317
_cell_length_c 6.810
_cell_angle_alpha 90.00
_cell_angle_beta 90.00
_cell_angle_gamma 90.00
loop_
_space_group_symop_operation_xyz
'x,y,z'
'-x,-y,z+1/2'
'-x,y,z'
'x,-y,z+1/2'
loop_
_atom_site_label
_atom_site_type_symbol
_atom_site_fract_x
_atom_site_fract_y
_atom_site_fract_z
Er1 Er 0.000 0.043 0.000
Er2 Er 0.000 0.323 0.339
Er3 Er 0.500 0.179 0.700
Tm1 Tm 0.500 0.457 0.039
Cd1 Cd 0.000 0.351 0.795
Cd2 Cd 0.500 0.150 0.244
# Polymorph energy (0 for the lowest one) = 0 meV per atom
# Energy relative to the elements = -212 meV/atom
# DFT total energy = -42.53 eV/cell



Question: Which formula does entry 2 have?
Answer: Er3TmCd2



Please write out number 2 again, unchanged.
# PBE Er3TmCd2, relaxed
data_Er3TmCd2
_chemical_formula_sum 'Er6 Tm2 Cd4'
_space_group_name_H-M_alt 'P m c 21'
_space_group_IT_number 26
_cell_length_a 5.168
_cell_length_b 9.317
_cell_length_c 6.810
_cell_angle_alpha 90.00
_cell_angle_beta 90.00
_cell_angle_gamma 90.00
loop_
_space_group_symop_operation_xyz
'x,y,z'
'-x,-y,z+1/2'
'-x,y,z'
'x,-y,z+1/2'
loop_
_atom_site_label
_atom_site_type_symbol
_atom_site_fract_x
_atom_site_fract_y
_atom_site_fract_z
Er1 Er 0.000 0.043 0.000
Er2 Er 0.000 0.323 0.339
Er3 Er 0.500 0.179 0.700
Tm1 Tm 0.500 0.457 0.039
Cd1 Cd 0.000 0.351 0.795
Cd2 Cd 0.500 0.150 0.244
# Polymorph energy (0 for the lowest one) = 0 meV per atom
# Energy relative to the elements = -212 meV/atom
# DFT total energy = -42.53 eV/cell